Density functional theory data (PBE) for an optimized crystal structure of Si2RhPb.

It has space group P4/mmm (No. 123), with a = 3.123 Å, b = 3.123 Å, c = 7.452 Å, α = 90.00°, β = 90.00° and γ = 90.00°. Symmetry generates all atoms from Si at (0.000, 0.000, 0.182), Rh at (0.500, 0.500, 0.000) and Pb at (0.500, 0.500, 0.500).

The density of states at the Fermi level comes out at 3.29 states/eV/f.u. The value obtained for the electronic total energy is -5.4846 eV/atom. As for the formation energy (no corrections): -0.008 eV per atom.